w:
## HfZnFeSi (PBE-GGA)

Data for crystalline HfZnFeSi at its relaxed geometry.

Values from the calculation:
Total magnetization: 1.2 μB/f.u.

Unit cell a=4.3254 b=4.3254 c=4.3254 alpha=60.00 beta=60.00 gamma=60.00
Sites, in units of the cell vectors:
Hf1 0.0000 0.0000 0.0000
Zn1 0.7500 0.7500 0.7500
Fe1 0.5000 0.5000 0.5000
Si1 0.2500 0.2500 0.2500

=====

x:
## HfZnFeSi (PBE-GGA)

Data for crystalline HfZnFeSi at its relaxed geometry.

Values from the calculation:
Total magnetization: 0.0 μB/f.u.

Unit cell a=4.2896 b=4.2896 c=4.2896 alpha=60.00 beta=60.00 gamma=60.00
Sites, in units of the cell vectors:
Hf1 0.0000 0.0000 0.0000
Zn1 0.2500 0.2500 0.2500
Fe1 0.7500 0.7500 0.7500
Si1 0.5000 0.5000 0.5000

=====

x wins, 89 meV/atom ahead of the next structure.

=====

w:
## SrHfFe (PBE-GGA)

Data for crystalline SrHfFe at its relaxed geometry.

Values from the calculation:
Total magnetization: 2.2 μB/f.u.

Unit cell a=4.8347 b=4.8347 c=4.8347 alpha=60.00 beta=60.00 gamma=60.00
Sites, in units of the cell vectors:
Sr1 0.0000 0.0000 0.0000
Hf1 0.2500 0.2500 0.2500
Fe1 0.7500 0.7500 0.7500

=====

x:
## SrHfFe (PBE-GGA)

Data for crystalline SrHfFe at its relaxed geometry.

Values from the calculation:
Total magnetization: 0.1 μB/f.u.

Unit cell a=4.6451 b=4.6451 c=4.6451 alpha=60.00 beta=60.00 gamma=60.00
Sites, in units of the cell vectors:
Sr1 0.0000 0.0000 0.0000
Hf1 0.5000 0.5000 0.5000
Fe1 0.7500 0.7500 0.7500

=====

x wins, 1065 meV/atom ahead of the next structure.